The following is a DFT calculation (PBE+U) of an optimized crystal structure of NiClF3.

Cell lengths 4.029, 4.029, 4.029 Å; angles 90.00, 90.00, 90.00 degrees
Last column: magnetic moment on the atom in μB.
Element x y z (fractional)
Ni1 0.000 0.000 0.000  1.83
F1 0.000 0.500 0.000  -0.10
F2 0.000 0.000 0.500  -0.24
F3 0.500 0.000 0.000  -0.18
Cl1 0.500 0.500 0.500  -1.05

Computed properties:
As for the crystal system: cubic. As for the total magnetization: 0.00 μB/f.u. The calculation puts the distance to the lowest polymorph of the same formula at 296 meV/atom. Its calculated total energy is -3.044 eV per atom.